# 1
GaFeCoCu: optimized geometry, PBE-GGA.

Properties
Energy relative to the lowest polymorph listed for this composition = 0.0000 eV/atom
Total energy = -5.601 eV/atom
Density = 8.56 Mg/m³
Symmetry = F-43m, No. 216

a b c (Å): 4.0830 4.0830 4.0830
angles (deg): 60.00 60.00 60.00
Site moments in Bohr magnetons follow the coordinates.
Fractional coordinates of all 4 atoms:
Co1 0.2500 0.2500 0.2500  0.99
Cu1 0.7500 0.7500 0.7500  -0.02
Fe1 0.5000 0.5000 0.5000  2.58
Ga1 0.0000 0.0000 0.0000  -0.06


# 2
Zn2TcAs: optimized geometry, PBE-GGA.

Properties
Total energy = -4.077 eV/atom
Density = 8.37 Mg/m³
Symmetry = F-43m, No. 216

a b c (Å): 4.4006 4.4006 4.4006
angles (deg): 60.00 60.00 60.00
Fractional coordinates of all 4 atoms:
As1 0.5000 0.5000 0.5000
Tc1 0.2500 0.2500 0.2500
Zn1 0.0000 0.0000 0.0000
Zn2 0.7500 0.7500 0.7500


# 3
Cs2AgSnI6: optimized geometry, PBE-GGA.

Properties
Energy relative to the lowest polymorph listed for this composition = 0.0001 eV/atom
Total energy = -2.630 eV/atom
Density = 4.77 Mg/m³
Symmetry = P1, No. 1

a b c (Å): 8.5055 8.5077 12.0538
angles (deg): 89.98 90.00 90.00
Fractional coordinates of all 20 atoms:
Ag1 0.5499 0.5504 0.0000
Ag2 0.0501 0.0496 0.5000
Cs1 0.0499 0.5500 0.2495
Cs2 0.5500 0.0498 0.2500
Cs3 0.5500 0.0498 0.7501
Cs4 0.0501 0.5505 0.7505
I1 0.2973 0.3076 0.0007
I2 0.3074 0.8030 0.0014
I3 0.5520 0.5488 0.2479
I4 0.0479 0.0508 0.2521
I5 0.2883 0.7926 0.4985
I6 0.3070 0.2881 0.4995
I7 0.7932 0.8113 0.5006
I8 0.8119 0.3068 0.5015
I9 0.0521 0.0498 0.7479
I10 0.5481 0.5505 0.7521
I11 0.7924 0.2975 0.9986
I12 0.8025 0.7930 0.9993
Sn1 0.0499 0.0504 0.0000
Sn2 0.5501 0.5496 0.5000


# 4
Ba2Te2AuF2: optimized geometry, PBE-GGA.

Properties
Total energy = -4.589 eV/atom
Density = 6.75 Mg/m³
Symmetry = P-4m2, No. 115

a b c (Å): 4.5853 4.5853 8.9518
angles (deg): 90.00 90.00 90.00
Fractional coordinates of all 7 atoms:
Au1 0.0000 0.0000 0.5000
Ba1 0.0000 0.5000 0.1592
Ba2 0.5000 0.0000 0.8408
F1 0.0000 0.0000 0.0000
F2 0.5000 0.5000 0.0000
Te1 0.5000 0.0000 0.3361
Te2 0.0000 0.5000 0.6639